Record 1
Material: MnTl2I2Br2
Method: DFT, GGA-PBE
State: optimized geometry

Lattice parameters (Å, degrees): 4.359 8.433 8.519 58.64 75.18 75.02
Last column: magnetic moment on the atom in μB.
Atoms (fractional coordinates):
Br (0.818, 0.241, 0.123)  0.03
Br (0.182, 0.759, 0.877)  0.03
Tl (0.851, 0.599, 0.699)  0.01
Tl (0.149, 0.401, 0.301)  0.01
I (0.475, 0.784, 0.267)  0.06
I (0.525, 0.216, 0.733)  0.06
Mn (0.000, 0.000, 0.000)  4.36

The calculation puts the spin magnetization at 0.714 μB per atom. Its uncorrected formation energy is -0.668 eV per atom. Its space group is No. 12. Its total energy is -3.575 eV/atom. For the volume, the calculation gives 36.508 Å³ per atom.

---

Record 2
Material: MnWIBr2
Method: DFT, GGA-PBE
State: optimized geometry

Lattice parameters (Å, degrees): 6.187 5.039 6.187 90.00 90.00 90.00
Last column: magnetic moment on the atom in μB.
Atoms (fractional coordinates):
Mn (0.500, 0.500, 0.500)  -4.73
I (0.000, 0.000, 0.000)  0.03
Br (0.500, 0.000, 0.000)  -0.06
Br (0.000, 0.000, 0.500)  -0.06
W (0.000, 0.500, 0.000)  -0.61

The calculation puts the spin magnetization at 1.288 μB per atom. Its uncorrected formation energy is 1.809 eV per atom. Its space group is No. 123. Its total energy is -3.595 eV/atom. For the volume, the calculation gives 38.579 Å³ per atom.

---

Record 3
Material: YMn2IBr
Method: DFT, GGA-PBE
State: optimized geometry

Lattice parameters (Å, degrees): 4.828 6.033 4.828 90.00 90.00 90.00
Last column: magnetic moment on the atom in μB.
Atoms (fractional coordinates):
Y (0.000, 0.500, 0.000)  -0.55
I (0.000, 0.000, 0.000)  -0.07
Mn (0.000, 0.000, 0.500)  3.06
Mn (0.500, 0.000, 0.000)  3.40
Br (0.500, 0.500, 0.500)  -0.01

The calculation puts the spin magnetization at 1.049 μB per atom. Its uncorrected formation energy is 0.733 eV per atom. Its space group is No. 123. Its total energy is -4.872 eV/atom. For the volume, the calculation gives 28.131 Å³ per atom.

---

Record 4
Material: Mo3IBr
Method: DFT, GGA-PBE
State: optimized geometry

Lattice parameters (Å, degrees): 4.968 4.968 4.968 90.00 90.00 90.00
Last column: magnetic moment on the atom in μB.
Atoms (fractional coordinates):
Br (0.500, 0.500, 0.500)  0.07
Mo (0.500, 0.000, 0.000)  0.73
Mo (0.000, 0.000, 0.500)  0.38
Mo (0.000, 0.500, 0.000)  0.41
I (0.000, 0.000, 0.000)  -0.01

The calculation puts the spin magnetization at 0.366 μB per atom. Its uncorrected formation energy is 2.328 eV per atom. Its space group is No. 221. Its total energy is -4.815 eV/atom. For the volume, the calculation gives 24.517 Å³ per atom. As for the energy above the most stable polymorph in this dataset: 480.7 meV per atom.

---

Record 5
Material: MoIBr4
Method: DFT, GGA-PBE
State: optimized geometry

Lattice parameters (Å, degrees): 6.692 6.600 9.603 110.10 96.03 90.00
Atoms (fractional coordinates):
Mo (0.691, 0.479, 0.957)
Mo (0.309, 0.521, 0.043)
I (0.797, 0.817, 0.634)
I (0.203, 0.183, 0.366)
Br (0.587, 0.350, 0.168)
Br (0.000, 0.255, 0.000)
Br (0.413, 0.650, 0.832)
Br (0.413, 0.182, 0.832)
Br (0.000, 0.745, 0.000)
Br (0.805, 0.341, 0.682)
Br (0.587, 0.818, 0.168)
Br (0.195, 0.659, 0.318)

The calculation puts the spin magnetization at 0.000 μB per atom. Its uncorrected formation energy is -0.212 eV per atom. Its space group is No. 12. Its total energy is -3.390 eV/atom. For the volume, the calculation gives 32.983 Å³ per atom. As for the energy above the most stable polymorph in this dataset: 0.0 meV per atom.

---

Record 6
Material: Mo2IBr
Method: DFT, GGA-PBE
State: optimized geometry

Lattice parameters (Å, degrees): 4.677 4.677 4.677 60.00 60.00 60.00
Atoms (fractional coordinates):
Br (0.000, 0.000, 0.000)
Mo (0.750, 0.750, 0.750)
Mo (0.250, 0.250, 0.250)
I (0.500, 0.500, 0.500)

The calculation puts the spin magnetization at 0.000 μB per atom. Its uncorrected formation energy is 1.070 eV per atom. Its space group is No. 225. Its total energy is -5.152 eV/atom. For the volume, the calculation gives 18.084 Å³ per atom. As for the energy above the most stable polymorph in this dataset: 155.7 meV per atom.

---

Record 7
Material: MoIBr5
Method: DFT, GGA-PBE
State: optimized geometry

Lattice parameters (Å, degrees): 13.213 13.643 15.135 40.58 23.40 32.17
Last column: magnetic moment on the atom in μB.
Atoms (fractional coordinates):
Mo (0.000, 0.000, 0.000)  1.75
Mo (0.500, 0.000, 0.500)  1.74
I (0.500, 0.247, 0.752)  0.00
I (0.500, 0.753, 0.248)  0.00
Br (0.758, 0.938, 0.664)  0.00
Br (0.409, 0.265, 0.292)  0.03
Br (0.242, 0.062, 0.336)  0.00
Br (0.750, 0.446, 0.162)  0.00
Br (0.250, 0.554, 0.838)  0.00
Br (0.978, 0.969, 0.208)  0.03
Br (0.591, 0.735, 0.708)  0.03
Br (0.863, 0.765, 0.250)  0.03
Br (0.137, 0.235, 0.750)  0.03
Br (0.022, 0.031, 0.792)  0.03

The calculation puts the spin magnetization at 0.302 μB per atom. Its uncorrected formation energy is -0.310 eV per atom. Its space group is No. 2. Its total energy is -3.274 eV/atom. For the volume, the calculation gives 41.060 Å³ per atom.

---

Record 8
Material: Mo3IBr
Method: DFT, GGA-PBE
State: optimized geometry

Lattice parameters (Å, degrees): 4.716 4.716 4.716 90.00 90.00 90.00
Atoms (fractional coordinates):
Br (0.000, 0.000, 0.000)
Mo (0.000, 0.000, 0.500)
Mo (0.000, 0.500, 0.000)
Mo (0.500, 0.000, 0.000)
I (0.500, 0.500, 0.500)

The calculation puts the spin magnetization at 0.000 μB per atom. Its uncorrected formation energy is 1.848 eV per atom. Its space group is No. 221. Its total energy is -5.295 eV/atom. For the volume, the calculation gives 20.981 Å³ per atom. As for the energy above the most stable polymorph in this dataset: 0.0 meV per atom.

---

Record 9
Material: MoIBr4
Method: DFT, GGA-PBE
State: optimized geometry

Lattice parameters (Å, degrees): 7.414 7.417 7.412 117.92 117.91 93.62
Last column: magnetic moment on the atom in μB.
Atoms (fractional coordinates):
I (0.750, 0.250, 0.500)  -0.45
Br (0.724, 0.273, 0.997)  -0.09
Br (0.727, 0.725, 0.451)  -0.09
Br (0.274, 0.276, 0.549)  -0.09
Br (0.275, 0.726, 0.003)  -0.09
Mo (0.500, 0.500, 0.000)  1.71

The calculation puts the spin magnetization at 0.156 μB per atom. Its uncorrected formation energy is -0.038 eV per atom. Its space group is No. 82. Its total energy is -3.217 eV/atom. For the volume, the calculation gives 49.454 Å³ per atom. As for the energy above the most stable polymorph in this dataset: 173.6 meV per atom.

---

Record 10
Material: MoI2Br2
Method: DFT, GGA-PBE
State: optimized geometry

Lattice parameters (Å, degrees): 7.442 7.819 7.819 68.92 61.58 61.58
Last column: magnetic moment on the atom in μB.
Atoms (fractional coordinates):
Br (0.269, 0.280, 0.720)  0.02
Br (0.269, 0.720, 0.280)  0.02
Br (0.731, 0.720, 0.280)  0.02
Br (0.731, 0.280, 0.720)  0.02
Mo (0.705, 0.000, 0.000)  0.84
Mo (0.295, 0.000, 0.000)  0.84
I (0.288, 0.212, 0.212)  0.00
I (0.712, 0.788, 0.788)  0.00
I (0.176, 0.824, 0.824)  -0.02
I (0.824, 0.176, 0.176)  -0.02

The calculation puts the spin magnetization at 0.204 μB per atom. Its uncorrected formation energy is -0.329 eV per atom. Its space group is No. 71. Its total energy is -3.785 eV/atom. For the volume, the calculation gives 34.667 Å³ per atom.

---

Record 11
Material: Mo2IBr8
Method: DFT, GGA-PBE
State: optimized geometry

Lattice parameters (Å, degrees): 7.310 7.310 8.965 92.44 92.44 109.66
Last column: magnetic moment on the atom in μB.
Atoms (fractional coordinates):
Br (0.737, 0.137, 0.300)  -0.04
Br (0.802, 0.802, 0.564)  0.01
Br (0.608, 0.608, 0.201)  0.06
Br (0.198, 0.198, 0.436)  0.01
Br (0.263, 0.863, 0.700)  -0.04
Br (0.392, 0.392, 0.799)  0.06
Br (0.137, 0.737, 0.300)  -0.04
Br (0.863, 0.263, 0.700)  -0.04
Mo (0.117, 0.117, 0.702)  1.30
Mo (0.883, 0.883, 0.298)  1.30
I (0.000, 0.000, 0.000)  0.05

The calculation puts the spin magnetization at 0.272 μB per atom. Its uncorrected formation energy is -0.378 eV per atom. Its space group is No. 12. Its total energy is -3.705 eV/atom. For the volume, the calculation gives 40.899 Å³ per atom.

---

Record 12
Material: Mo2IBr
Method: DFT, GGA-PBE
State: optimized geometry

Lattice parameters (Å, degrees): 4.553 4.553 9.156 75.60 75.60 90.00
Atoms (fractional coordinates):
Br (0.250, 0.750, 0.500)
Br (0.500, 0.500, 0.000)
I (0.000, 0.000, 0.000)
I (0.750, 0.250, 0.500)
Mo (0.209, 0.625, 0.250)
Mo (0.541, 0.125, 0.250)
Mo (0.875, 0.791, 0.750)
Mo (0.375, 0.459, 0.750)

The calculation puts the spin magnetization at 0.000 μB per atom. Its uncorrected formation energy is 0.914 eV per atom. Its space group is No. 122. Its total energy is -5.308 eV/atom. For the volume, the calculation gives 22.211 Å³ per atom. As for the energy above the most stable polymorph in this dataset: 0.0 meV per atom.

---

Record 13
Material: MoI2Br8
Method: DFT, GGA-PBE
State: optimized geometry

Lattice parameters (Å, degrees): 7.476 9.421 9.410 49.19 70.23 70.18
Last column: magnetic moment on the atom in μB.
Atoms (fractional coordinates):
Br (0.368, 0.923, 0.924)  -0.01
Br (0.029, 0.319, 0.875)  0.00
Br (0.971, 0.681, 0.125)  0.00
Br (0.552, 0.585, 0.584)  -0.01
Br (0.448, 0.415, 0.416)  -0.01
Br (0.632, 0.077, 0.076)  -0.01
Br (0.972, 0.126, 0.681)  0.00
Br (0.028, 0.874, 0.319)  0.00
Mo (0.000, 0.000, 0.000)  0.38
I (0.460, 0.746, 0.745)  -0.02
I (0.540, 0.254, 0.255)  -0.02

The calculation puts the spin magnetization at 0.032 μB per atom. Its uncorrected formation energy is -0.243 eV per atom. Its space group is No. 2. Its total energy is -2.726 eV/atom. For the volume, the calculation gives 42.320 Å³ per atom.

---

Record 14
Material: MoI2BrN
Method: DFT, GGA-PBE
State: optimized geometry

Lattice parameters (Å, degrees): 5.645 5.645 3.839 90.00 90.00 90.00
Atoms (fractional coordinates):
Mo (0.000, 0.000, 0.000)
Br (0.500, 0.500, 0.500)
I (0.000, 0.500, 0.000)
I (0.500, 0.000, 0.000)
N (0.000, 0.000, 0.500)

The calculation puts the spin magnetization at 0.000 μB per atom. Its uncorrected formation energy is 0.324 eV per atom. Its space group is No. 123. Its total energy is -4.462 eV/atom. For the volume, the calculation gives 24.464 Å³ per atom. As for the energy above the most stable polymorph in this dataset: 0.0 meV per atom.

---

Record 15
Material: MoI2BrN
Method: DFT, GGA-PBE
State: optimized geometry

Lattice parameters (Å, degrees): 6.286 6.286 3.733 90.00 90.00 90.00
Last column: magnetic moment on the atom in μB.
Atoms (fractional coordinates):
I (0.500, 0.000, 0.000)  -0.06
I (0.000, 0.500, 0.000)  -0.06
N (0.000, 0.000, 0.500)  -0.07
Br (0.000, 0.000, 0.000)  -0.03
Mo (0.500, 0.500, 0.500)  3.81

The calculation puts the spin magnetization at 0.880 μB per atom. Its uncorrected formation energy is 1.761 eV per atom. Its space group is No. 123. Its total energy is -3.025 eV/atom. For the volume, the calculation gives 29.503 Å³ per atom. As for the energy above the most stable polymorph in this dataset: 1436.6 meV per atom.